## NiRh2AuBr (PBE)

Data for crystalline NiRh2AuBr at its relaxed geometry.

Results
- calculated volume (Å³/f.u.) = 101.26
- calculated total energy (hartree per atom) = -0.14906

Cell: 4.5966 4.7923 4.5966 Å, 90.00 90.00 90.00°
Last column: magnetic moment on the atom in μB.
Atoms (fractional coordinates):
Ni1 0.0000 0.0000 0.0000  0.87
Br1 0.5000 0.5000 0.5000  0.10
Au1 0.0000 0.5000 0.0000  0.01
Rh1 0.5000 0.0000 0.0000  0.75
Rh2 0.0000 0.0000 0.5000  1.31

=====

## MnCrCo2 (PBE)

Data for crystalline MnCrCo2 at its relaxed geometry.

Results
- calculated volume (Å³/f.u.) = 43.32
- calculated total energy (hartree per atom) = -0.29887
- formation energy from the elements (kcal/mol of atoms) = 2.7

Cell: 4.3199 4.3199 4.2891 Å, 80.39 80.39 33.34°
Last column: magnetic moment on the atom in μB.
Atoms (fractional coordinates):
Co1 0.5016 0.5016 0.4974  0.45
Co2 0.9984 0.9984 0.0026  0.45
Cr1 0.7500 0.7500 0.7500  -0.47
Mn1 0.2500 0.2500 0.2500  1.07

=====

Fermi-level density of states, record by record: 8.98 6.06 states/eV/f.u.